SrHoO3 (PBE-GGA, relaxed); E_tot = -69.58 eV per cell
1.0
-2.9779 5.1579 0.0000
2.9779 5.1579 0.0000
0.0000 3.4386 -5.2675
Ho O Sr
2 6 2
direct
0.8509 0.8509 0.4472
0.1491 0.1491 0.5528
0.5458 0.2103 0.2676
0.9764 0.5458 0.2676
0.2103 0.9764 0.2676
0.7897 0.0236 0.7324
0.0236 0.4542 0.7324
0.4542 0.7897 0.7324
0.6344 0.6344 0.0969
0.3656 0.3656 0.9031

DyHgTeO (PBE-GGA, relaxed); E_tot = -38.06 eV per cell; energy above the lowest structure with this stoichiometry = 141 meV/atom
1.0
-3.5854 -1.8136 -2.8652
5.8535 -0.3781 -7.0856
1.5199 -5.4477 1.5463
Dy Hg O Te
2 2 2 2
direct
0.5000 0.8738 0.0242
0.5000 0.1262 0.5241
0.0000 0.3014 0.1377
0.0000 0.6986 0.6377
0.5000 0.0712 0.1858
0.5000 0.9288 0.6858
0.0000 0.6896 0.1434
0.0000 0.3104 0.6434

Li8Tl2Cd (PBE-GGA, relaxed); E_tot = -23.21 eV per cell
1.0
4.0013 -2.3088 0.0000
4.0013 2.3088 0.0000
-2.6879 0.0000 10.4015
Cd Li Tl
1 8 2
direct
0.0000 0.0000 0.0000
0.3615 0.3615 0.0847
0.7305 0.7305 0.1912
0.0895 0.0895 0.2690
0.8217 0.8217 0.4647
0.1783 0.1783 0.5353
0.9105 0.9105 0.7310
0.2695 0.2695 0.8088
0.6385 0.6385 0.9153
0.4507 0.4507 0.3523
0.5493 0.5493 0.6477

Copy entry 3 word for word.
Li8Tl2Cd (PBE-GGA, relaxed); E_tot = -23.21 eV per cell
1.0
4.0013 -2.3088 0.0000
4.0013 2.3088 0.0000
-2.6879 0.0000 10.4015
Cd Li Tl
1 8 2
direct
0.0000 0.0000 0.0000
0.3615 0.3615 0.0847
0.7305 0.7305 0.1912
0.0895 0.0895 0.2690
0.8217 0.8217 0.4647
0.1783 0.1783 0.5353
0.9105 0.9105 0.7310
0.2695 0.2695 0.8088
0.6385 0.6385 0.9153
0.4507 0.4507 0.3523
0.5493 0.5493 0.6477

- Among the records above, which one has the highest E_tot?
  Li8Tl2Cd